Here is MnCo2S after structural relaxation from Alexandria via LeMat-Bulk. Energies are from PBE.

Calculated values
ρ in Mg/m³: 5.6
Formation energy (no corrections) in meV per atom: 547
SG: I-42d

abc: 4.9610 4.9610 6.0330
angles: 65.72 65.72 90.00
Sites, in units of the cell vectors:
Co (0.6190, 0.1250, 0.2500)
Co (0.8750, 0.8690, 0.7500)
Co (0.1310, 0.6250, 0.2500)
Co (0.3750, 0.3810, 0.7500)
Mn (0.7500, 0.2500, 0.5000)
Mn (0.0000, 0.0000, 0.0000)
S (0.2500, 0.7500, 0.5000)
S (0.5000, 0.5000, 0.0000)